The following is a DFT calculation (PBE+U) of a relaxed PmFe2WO6 crystal.

a = 5.475 Å, b = 5.477 Å, c = 5.796 Å
α = 62.22°, β = 89.46°, γ = 60.83°
Fractional positions:
Pm (0.000, 0.000, 0.000)
Fe (0.285, 0.419, 0.846)
Fe (0.796, 0.422, 0.369)
W (0.490, 0.016, 0.463)
O (0.113, 0.476, 0.179)
O (0.237, 0.908, 0.659)
O (0.428, 0.905, 0.189)
O (0.575, 0.202, 0.671)
O (0.677, 0.220, 0.205)
O (0.867, 0.563, 0.652)

Results
Size of the total moment   0.8976 μB per atom
Space-group type   P1 (1)
Total energy   -7.406 eV per atom